## NaAl2Sb (PBE)

Data for a geometry-optimized NaAl2Sb structure.

Crystal system: hexagonal
E: -12.083 eV/f.u.
Theoretical density: 3.389 g/cm3
Magnetization: 0.000 μB per formula unit
Formation energy (no corrections): 0.21 eV per atom

Cell and atoms, written as CIF:
```
data_NaAl2Sb
_chemical_formula_sum 'Na2 Al4 Sb2'
_cell_length_a 5.1213
_cell_length_b 5.1213
_cell_length_c 8.5739
_cell_angle_alpha 90.00
_cell_angle_beta 90.00
_cell_angle_gamma 120.00
_space_group_name_H-M_alt 'P 63/m m c'
_space_group_IT_number 194
_space_group_name_Hall '-P 6c 2c'
loop_
_atom_site_label
_atom_site_fract_x
_atom_site_fract_y
_atom_site_fract_z
_atom_site_occupancy
Na1 0.0000 0.0000 0.0000 1
Al1 0.3333 0.6667 0.0937 1
Sb1 0.3333 0.6667 0.7500 1
```